Ba6Sb2I3Br: relaxed, PBE.

extended XYZ file:
```
12
Lattice="5.029 0.000 0.000 0.000 9.983 0.253 -2.515 -2.991 10.534" Properties=species:S:1:pos:R:3 pbc="T T T"
Ba 0.000 2.386 6.995
Ba 2.515 4.594 10.604
Ba 0.000 2.398 0.183
Ba 2.515 -0.005 3.457
Ba 0.000 6.997 7.330
Ba 2.515 4.605 3.792
I 2.515 -0.320 7.080
I 0.000 7.312 3.707
I 2.515 4.992 0.126
Br 2.515 0.000 0.000
Sb 0.000 2.263 3.524
Sb 2.515 4.728 7.263
```

Calculated values
Symmetry   No. 12
Formation energy (no corrections)   -1.416 eV/atom